(1)
Here is crystalline Mg3Nb3TcN8 at its relaxed geometry from the Alexandria database. Energies are from PBE.

The calculation puts the formation energy from raw total energies at -10.5 eV per formula unit. For the density of states at the Fermi level, the calculation gives 0.34 states/eV/atom. Its total magnetization is 2.23 μB per formula unit.

It has space group R-3m (No. 166, hexagonal axes), with a = 6.1217 Å, b = 6.1217 Å, c = 15.5332 Å, α = 90.00°, β = 90.00° and γ = 120.00°. The asymmetric unit holds Mg at (0.0000, 0.5000, 0.0000), Nb at (0.0000, 0.5000, 0.5000), Tc at (0.0000, 0.0000, 0.5000), N at (0.0000, 0.0000, 0.2482) and N at (0.0038, 0.5019, 0.2436).



(2)
Here is crystalline Zr2TlH2 at its relaxed geometry from the Alexandria database. Energies are from PBE.

For the density of states at the Fermi level, the calculation gives 0.67 states/eV/atom. The calculation puts the polymorph energy (0 for the lowest one) at 0.00 eV/f.u. Its total magnetization is 0.00 μB per formula unit.

It has space group I4/mmm (No. 139), with a = 3.842 Å, b = 3.842 Å, c = 9.802 Å, α = 90.00°, β = 90.00° and γ = 90.00°. The asymmetric unit holds Zr at (0.000, 0.000, 0.165), Tl at (0.000, 0.000, 0.500) and H at (0.000, 0.500, 0.250).



(3)
Here is crystalline AcScAlTl at its relaxed geometry from the Alexandria database. Energies are from PBE.

For the density of states at the Fermi level, the calculation gives 0.44 states/eV/atom. Its total magnetization is 0.00 μB per formula unit. As for the calculated formation energy: -0.199 eV/atom.

It has space group F-43m (No. 216), with a = 7.620 Å, b = 7.620 Å, c = 7.620 Å, α = 90.00°, β = 90.00° and γ = 90.00°. The asymmetric unit holds Ac at (0.000, 0.000, 0.000), Sc at (0.000, 0.000, 0.500), Al at (0.250, 0.250, 0.750) and Tl at (0.250, 0.250, 0.250).



(4)
Here is crystalline Ce6TaS12 at its relaxed geometry from the Alexandria database. Energies are from PBE.

The calculation puts the formation energy from raw total energies at -33.8 eV per formula unit. For the density of states at the Fermi level, the calculation gives 1.95 states/eV/atom. Its total magnetization is 5.08 μB per formula unit.

It has space group R-3 (No. 148, hexagonal axes), with a = 11.9977 Å, b = 11.9977 Å, c = 11.4633 Å, α = 90.00°, β = 90.00° and γ = 120.00°. The asymmetric unit holds Ce at (0.0535, 0.7801, 0.1441), Ta at (0.0000, 0.0000, 0.5000), S at (0.0357, 0.8149, 0.8990) and S at (0.0510, 0.8573, 0.3837).



(5)
Here is crystalline Cs3NbAu at its relaxed geometry from the Alexandria database. Energies are from PBE.

For the density of states at the Fermi level, the calculation gives 0.82 states/eV/atom. The calculation puts the polymorph energy (0 for the lowest one) at 0.00 eV/f.u. Its total magnetization is 5.00 μB per formula unit. As for the calculated formation energy: 0.878 eV/atom.

It has space group Pm-3m (No. 221), with a = 6.816 Å, b = 6.816 Å, c = 6.816 Å, α = 90.00°, β = 90.00° and γ = 90.00°. The asymmetric unit holds Cs at (0.000, 0.000, 0.500), Nb at (0.500, 0.500, 0.500) and Au at (0.000, 0.000, 0.000).



(6)
Here is crystalline NaY2TiPt at its relaxed geometry from the Alexandria database. Energies are from PBE.

For the density of states at the Fermi level, the calculation gives 0.79 states/eV/atom. Its total magnetization is 0.00 μB per formula unit. As for the calculated formation energy: 0.232 eV/atom.

It has space group P4/mmm (No. 123), with a = 5.466 Å, b = 5.466 Å, c = 4.713 Å, α = 90.00°, β = 90.00° and γ = 90.00°. The asymmetric unit holds Na at (0.000, 0.000, 0.000), Y at (0.000, 0.500, 0.500), Ti at (0.500, 0.500, 0.500) and Pt at (0.500, 0.500, 0.000).



(7)
Here is crystalline Zn2FeSiH at its relaxed geometry from the Alexandria database. Energies are from PBE.

The calculation puts the total energy at -3.66 eV per atom. For the density of states at the Fermi level, the calculation gives 0.74 states/eV/atom. Its total magnetization is 0.47 μB per formula unit.

It has space group P4/mmm (No. 123), with a = 3.892 Å, b = 3.892 Å, c = 3.597 Å, α = 90.00°, β = 90.00° and γ = 90.00°. The asymmetric unit holds Zn at (0.000, 0.500, 0.000), Fe at (0.000, 0.000, 0.500), Si at (0.500, 0.500, 0.500) and H at (0.000, 0.000, 0.000).



(8)
Here is crystalline Si2WCl at its relaxed geometry from the Alexandria database. Energies are from PBE.

The calculation puts the formation energy from raw total energies at 1.8 eV per formula unit. For the density of states at the Fermi level, the calculation gives 0.69 states/eV/atom. The calculation puts the polymorph energy (0 for the lowest one) at 0.89 eV/f.u. Its total magnetization is 0.00 μB per formula unit.

It has space group Cmm2 (No. 35), with a = 2.808 Å, b = 5.316 Å, c = 9.915 Å, α = 90.00°, β = 90.00° and γ = 90.00°. The asymmetric unit holds Si at (0.000, 0.000, 0.000), Si at (0.000, 0.500, 0.211), W at (0.000, 0.500, 0.782) and Cl at (0.000, 0.000, 0.579).